Here is a relaxed structure of Dy3TmPt3 from Alexandria via LeMat-Bulk. Energies are from PBE-GGA.

a b c (Å): 6.9350 6.9350 7.0830
angles (deg): 90.93 90.93 97.44
With the nearest neighbours (Å) after each atom.
Fractional coordinates of all 14 atoms:
Dy  0.1756  0.8244  0.0000  6 Pt 2.82-2.92
Dy  0.2492  0.7508  0.5000  6 Pt 2.99-3.06
Dy  0.3354  0.3354  0.1217  3 Pt 2.87-2.96
Dy  0.6646  0.6646  0.8783  3 Pt 2.87-2.96
Dy  0.7508  0.2492  0.5000  6 Pt 2.99-3.06
Dy  0.8244  0.1756  0.0000  6 Pt 2.82-2.92
Tm  0.2579  0.2579  0.6162  4 Pt 2.73-2.98
Tm  0.7421  0.7421  0.3838  4 Pt 2.73-2.98
Pt  0.0216  0.4947  0.7821  1 Tm 2.73, 4 Dy 2.82-3.02
Pt  0.0604  0.0604  0.3071  2 Tm 2.80-2.98, 5 Dy 2.87-2.99, 1 Pt 2.97
Pt  0.4947  0.0216  0.7821  1 Tm 2.73, 4 Dy 2.82-3.02
Pt  0.5053  0.9784  0.2179  1 Tm 2.73, 4 Dy 2.82-3.02
Pt  0.9396  0.9396  0.6929  2 Tm 2.80-2.98, 5 Dy 2.87-2.99, 1 Pt 2.97
Pt  0.9784  0.5053  0.2179  1 Tm 2.73, 4 Dy 2.82-3.02

## Properties
DOS at the Fermi energy ... 9.1 states/eV/cell
ΔE_f ... -1.03 eV per atom

Here is a relaxed structure of Dy2TmPt from Alexandria via LeMat-Bulk. Energies are from PBE-GGA.

a b c (Å): 9.7055 9.7055 9.7055
angles (deg): 22.30 22.30 22.30
With the nearest neighbours (Å) after each atom.
Fractional coordinates of all 4 atoms:
Dy  0.2302  0.2302  0.2302  3 Pt 2.82
Dy  0.7698  0.7698  0.7698  3 Pt 2.82
Tm  0.0000  0.0000  0.0000  6 Dy 3.64, 6 Tm 3.75
Pt  0.5000  0.5000  0.5000  6 Dy 2.82

## Properties
DOS at the Fermi energy ... 4.2 states/eV/cell
ΔE_f ... -0.48 eV per atom

Here is a relaxed structure of Dy3Tm2Pt2 from Alexandria via LeMat-Bulk. Energies are from PBE-GGA.

a b c (Å): 6.3843 6.3843 8.9864
angles (deg): 114.81 114.81 34.03
With the nearest neighbours (Å) after each atom.
Fractional coordinates of all 7 atoms:
Dy  0.0000  0.0000  0.0000  4 Pt 2.94
Dy  0.1137  0.1137  0.4346  3 Pt 2.90-2.94
Dy  0.8863  0.8863  0.5654  3 Pt 2.90-2.94
Tm  0.3346  0.3346  0.1867  2 Pt 2.86
Tm  0.6654  0.6654  0.8133  2 Pt 2.86
Pt  0.3233  0.3233  0.7626  2 Tm 2.86, 5 Dy 2.90-2.94
Pt  0.6767  0.6767  0.2374  2 Tm 2.86, 5 Dy 2.90-2.94

## Properties
DOS at the Fermi energy ... 8.1 states/eV/cell
ΔE_f ... -0.80 eV per atom

Here is a relaxed structure of Dy2Tm3Pt4 from Alexandria via LeMat-Bulk. Energies are from PBE-GGA.

a b c (Å): 8.8132 8.8132 7.6091
angles (deg): 90.00 90.00 134.36
With the nearest neighbours (Å) after each atom.
Fractional coordinates of all 18 atoms:
Dy  0.0929  0.9071  0.8991  5 Pt 2.98-3.25
Dy  0.4071  0.5929  0.3991  5 Pt 2.98-3.25
Dy  0.5929  0.4071  0.6009  5 Pt 2.98-3.25
Dy  0.9071  0.0929  0.1009  5 Pt 2.98-3.25
Tm  0.0000  0.0000  0.5000  6 Pt 2.67-2.92
Tm  0.0288  0.4712  0.7500  5 Pt 2.80-2.95
Tm  0.4712  0.0288  0.2500  5 Pt 2.80-2.95
Tm  0.5000  0.5000  0.0000  6 Pt 2.67-2.92
Tm  0.5288  0.9712  0.7500  5 Pt 2.80-2.95
Tm  0.9712  0.5288  0.2500  5 Pt 2.80-2.95
Pt  0.1781  0.8219  0.5529  5 Tm 2.80-2.95, 1 Dy 2.98
Pt  0.2024  0.2976  0.7500  3 Tm 2.67-2.82
Pt  0.2976  0.2024  0.2500  3 Tm 2.67-2.82
Pt  0.3219  0.6781  0.0529  5 Tm 2.80-2.95, 1 Dy 2.98
Pt  0.6781  0.3219  0.9471  5 Tm 2.80-2.95, 1 Dy 2.98
Pt  0.7024  0.7976  0.7500  3 Tm 2.67-2.82
Pt  0.7976  0.7024  0.2500  3 Tm 2.67-2.82
Pt  0.8219  0.1781  0.4471  5 Tm 2.80-2.95, 1 Dy 2.98

## Properties
DOS at the Fermi energy ... 13.4 states/eV/cell
ΔE_f ... -1.05 eV per atom

Here is a relaxed structure of Dy5TmPt6 from Alexandria via LeMat-Bulk. Energies are from PBE-GGA.

a b c (Å): 8.5472 8.5472 4.9481
angles (deg): 106.70 106.70 47.77
With the nearest neighbours (Å) after each atom.
Fractional coordinates of all 12 atoms:
Dy  0.0000  0.0000  0.0000  8 Pt 3.00-3.03
Dy  0.1666  0.1666  0.6671  8 Pt 3.03-3.04
Dy  0.3334  0.3334  0.3332  8 Pt 3.00-3.05
Dy  0.6666  0.6666  0.6668  8 Pt 3.00-3.05
Dy  0.8334  0.8334  0.3329  8 Pt 3.03-3.04
Tm  0.5000  0.5000  0.0000  8 Pt 2.99-3.00
Pt  0.0873  0.5835  0.8346  1 Tm 2.99, 7 Dy 3.00-3.05
Pt  0.2536  0.7464  0.5000  6 Dy 3.00-3.03, 2 Tm 3.00
Pt  0.4165  0.9127  0.1654  1 Tm 2.99, 7 Dy 3.00-3.05
Pt  0.5835  0.0873  0.8346  1 Tm 2.99, 7 Dy 3.00-3.05
Pt  0.7464  0.2536  0.5000  6 Dy 3.00-3.03, 2 Tm 3.00
Pt  0.9127  0.4165  0.1654  1 Tm 2.99, 7 Dy 3.00-3.05

## Properties
DOS at the Fermi energy ... 7.1 states/eV/cell
ΔE_f ... -1.23 eV per atom

Here is a relaxed structure of DyTmPt from Alexandria via LeMat-Bulk. Energies are from PBE-GGA.

a b c (Å): 4.8265 4.8265 4.8265
angles (deg): 60.00 60.00 60.00
With the nearest neighbours (Å) after each atom.
Fractional coordinates of all 3 atoms:
Dy  0.0000  0.0000  0.0000  4 Pt 2.96
Tm  0.5000  0.5000  0.5000  4 Pt 2.96
Pt  0.7500  0.7500  0.7500  4 Dy 2.96, 4 Tm 2.96

## Properties
DOS at the Fermi energy ... 2.2 states/eV/cell
ΔE_f ... -0.90 eV per atom

no.,raw total energy (hartree per atom),magnetization (μB per cell),V (Å³ per atom)
1,-0.2290,0.000,24.12
2,-0.1988,0.000,28.87
3,-0.2122,0.000,26.31
4,-0.2298,0.000,23.47
5,-0.2405,0.000,21.17
6,-0.2182,0.000,26.50